Crystalline NaMnP2O7 at its relaxed geometry. Source: Alexandria, functional PBE+U.

Properties
**DFT total energy**: -154.5 eV for the cell shown
**Space-group type**: P-1 (2)

Cell lengths 6.3685, 6.7889, 6.7861 Å; angles 87.27, 98.10, 114.07 degrees
Fractional positions:
O1 0.3426 0.4714 0.7804
O2 0.0404 0.1025 0.6844
O3 0.6078 0.8446 0.0507
O4 0.7778 0.2180 0.3280
O5 0.2222 0.7820 0.6720
O6 0.3922 0.1554 0.9493
O7 0.9596 0.8975 0.3156
O8 0.2310 0.5279 0.4134
O9 0.9324 0.7392 0.9762
O10 0.7690 0.4721 0.5866
O11 0.0676 0.2608 0.0238
O12 0.3982 0.2041 0.3896
O13 0.6018 0.7959 0.6104
O14 0.6574 0.5286 0.2196
Na1 0.6873 0.1331 0.8303
Na2 0.3127 0.8669 0.1697
Mn1 0.9100 0.7788 0.6568
Mn2 0.0900 0.2212 0.3432
P1 0.7901 0.7663 0.1279
P2 0.3452 0.6446 0.6165
P3 0.6548 0.3554 0.3835
P4 0.2099 0.2337 0.8721